TbAg2Pb: optimized geometry, PBE.

Summary:
The value obtained for the total DFT energy (no corrections) is -0.27338 Ry per atom. The crystal system is tetragonal.

Unit cell a=3.840 b=3.840 c=6.543 alpha=90.00 beta=90.00 gamma=90.00
Element x y z (fractional)
1 Pb 0.500 0.500 0.500
2 Tb 0.500 0.500 0.000
3 Ag 0.000 0.000 0.767
4 Ag 0.000 0.000 0.233